# Na8NiO6 PBEsol relaxed
# DFT total energy = -4.3987 eV per atom
# space-group type = P6_3cm, No. 185
# uncorrected formation energy = -1.14 eV/atom
data_Na8NiO6
_chemical_formula_sum 'Na16 Ni2 O12'
_cell_length_a 6.272
_cell_length_b 6.272
_cell_length_c 12.620
_cell_angle_alpha 90.00
_cell_angle_beta 90.00
_cell_angle_gamma 120.00
_symmetry_space_group_name_H-M 'P 1'
_symmetry_Int_Tables_number 1
loop_
_symmetry_equiv_pos_as_xyz
'x,y,z'
loop_
_atom_site_label
_atom_site_fract_x
_atom_site_fract_y
_atom_site_fract_z
Na1 0.000 0.294 0.000
Na2 0.000 0.387 0.648
Na3 0.000 0.613 0.148
Na4 0.000 0.706 0.500
Na5 0.294 0.000 0.000
Na6 0.294 0.294 0.500
Na7 0.333 0.667 0.358
Na8 0.333 0.667 0.858
Na9 0.387 0.000 0.648
Na10 0.387 0.387 0.148
Na11 0.613 0.000 0.148
Na12 0.613 0.613 0.648
Na13 0.667 0.333 0.358
Na14 0.667 0.333 0.858
Na15 0.706 0.000 0.500
Na16 0.706 0.706 0.000
Ni1 0.000 0.000 0.274
Ni2 0.000 0.000 0.774
O1 0.000 0.000 0.125
O2 0.000 0.000 0.625
O3 0.000 0.276 0.819
O4 0.000 0.724 0.319
O5 0.276 0.000 0.819
O6 0.276 0.276 0.319
O7 0.333 0.667 0.049
O8 0.333 0.667 0.549
O9 0.667 0.333 0.049
O10 0.667 0.333 0.549
O11 0.724 0.000 0.319
O12 0.724 0.724 0.819